1.
# Pm3Nd2SmTm6

A relaxed structure of Pm3Nd2SmTm6 (GGA-PBE, Alexandria via LeMat-Bulk).

Properties
Total magnetization in μB per cell: 0.00
ρ in Mg/m³: 8.2
DFT total energy in eV per atom: -4.595
DOS at the Fermi energy in states/eV per cell: 12.61
Volume in Å³ per cell: 384

Lattice parameters (Å, degrees): 6.2040 6.2040 11.7053 95.05 95.05 119.99
Positions (direct):
Pm  0.1667  0.8333  0.5000
Pm  0.8333  0.1667  0.5000
Pm  0.5000  0.5000  0.5000
Nd  0.3335  0.6665  0.0000
Nd  0.6665  0.3335  0.0000
Sm  0.0000  0.0000  0.0000
Tm  0.9163  0.5831  0.7497
Tm  0.7506  0.7506  0.2505
Tm  0.0837  0.4169  0.2503
Tm  0.5831  0.9163  0.7497
Tm  0.2494  0.2494  0.7495
Tm  0.4169  0.0837  0.2503

2.
# PmNdSmTm2

A relaxed structure of PmNdSmTm2 (GGA-PBE, Alexandria via LeMat-Bulk).

Properties
Total magnetization in μB per cell: 0.00
ρ in Mg/m³: 7.5
DFT total energy in eV per atom: -4.307
DOS at the Fermi energy in states/eV per cell: 15.89
Volume in Å³ per cell: 344

Lattice parameters (Å, degrees): 6.4311 6.4416 8.9007 111.21 90.00 90.00
Positions (direct):
Pm  0.2500  0.8435  0.6870
Pm  0.7500  0.1565  0.3130
Nd  0.7500  0.7755  0.5509
Nd  0.2500  0.2245  0.4491
Sm  0.2500  0.6553  0.3106
Sm  0.7500  0.3447  0.6894
Tm  0.5000  0.2463  0.0000
Tm  0.0000  0.7537  0.0000
Tm  0.5000  0.7537  0.0000
Tm  0.0000  0.2463  0.0000

3.
# Pm2NdSm4Tm

A relaxed structure of Pm2NdSm4Tm (GGA-PBE, Alexandria via LeMat-Bulk).

Properties
Total magnetization in μB per cell: 0.11
ρ in Mg/m³: 7.3
DFT total energy in eV per atom: -4.310
DOS at the Fermi energy in states/eV per cell: 40.21
Volume in Å³ per cell: 549

Lattice parameters (Å, degrees): 9.5929 9.5929 11.9052 128.32 128.32 88.43
Positions (direct):
Pm  0.5000  0.0000  0.0000
Pm  0.5000  0.0000  0.5000
Pm  0.0000  0.0000  0.5000
Pm  0.5000  0.5000  0.0000
Nd  0.0000  0.5000  0.0000
Nd  0.0000  0.5000  0.5000
Sm  0.2441  0.7563  0.0011
Sm  0.7437  0.2559  0.4989
Sm  0.2563  0.7441  0.5011
Sm  0.7559  0.2437  0.9989
Sm  0.7417  0.7422  0.9879
Sm  0.7578  0.7583  0.5122
Sm  0.2422  0.2417  0.4879
Sm  0.2583  0.2578  0.0122
Tm  0.5000  0.5000  0.5000
Tm  0.0000  0.0000  0.0000

4.
# Pm2Nd2SmTm

A relaxed structure of Pm2Nd2SmTm (GGA-PBE, Alexandria via LeMat-Bulk).

Properties
Total magnetization in μB per cell: 0.00
ρ in Mg/m³: 7.4
DFT total energy in eV per atom: -4.647
DOS at the Fermi energy in states/eV per cell: 18.27
Volume in Å³ per cell: 403

Lattice parameters (Å, degrees): 5.7292 7.0897 9.9205 90.00 90.00 90.00
Positions (direct):
Pm  0.0000  0.2575  0.8371
Pm  0.5000  0.2577  0.3304
Pm  0.0000  0.7575  0.1629
Pm  0.5000  0.7577  0.6696
Nd  0.5000  0.0074  0.0000
Nd  0.0000  0.2575  0.1776
Nd  0.5000  0.5074  0.0000
Nd  0.0000  0.7575  0.8224
Sm  0.5000  0.2577  0.6572
Sm  0.5000  0.7577  0.3428
Tm  0.0000  0.0078  0.5000
Tm  0.0000  0.5078  0.5000

5.
# PmNdSmTm

A relaxed structure of PmNdSmTm (GGA-PBE, Alexandria via LeMat-Bulk).

Properties
Total magnetization in μB per cell: 0.00
ρ in Mg/m³: 7.6
DFT total energy in eV per atom: -4.664
DOS at the Fermi energy in states/eV per cell: 4.60
Volume in Å³ per cell: 133

Lattice parameters (Å, degrees): 3.6271 3.6271 11.6792 90.00 90.00 120.00
Positions (direct):
Pm  0.3333  0.6667  0.9202
Nd  0.6667  0.3333  0.1757
Sm  0.0000  0.0000  0.4294
Tm  0.6667  0.3333  0.6741

6.
# Pm4Nd2SmTm

A relaxed structure of Pm4Nd2SmTm (GGA-PBE, Alexandria via LeMat-Bulk).

Properties
Total magnetization in μB per cell: 0.00
ρ in Mg/m³: 7.1
DFT total energy in eV per atom: -4.332
DOS at the Fermi energy in states/eV per cell: 39.45
Volume in Å³ per cell: 554

Lattice parameters (Å, degrees): 9.6106 9.6106 11.9498 128.33 128.33 88.38
Positions (direct):
Pm  0.2431  0.7566  0.9988
Pm  0.7434  0.2569  0.5012
Pm  0.2566  0.7431  0.4988
Pm  0.7569  0.2434  0.0012
Pm  0.7270  0.7258  0.9718
Pm  0.7742  0.7730  0.5282
Pm  0.2258  0.2270  0.4718
Pm  0.2730  0.2742  0.0282
Nd  0.5000  0.0000  0.0000
Nd  0.5000  0.0000  0.5000
Nd  0.0000  0.0000  0.5000
Nd  0.5000  0.5000  0.0000
Sm  0.0000  0.5000  0.0000
Sm  0.0000  0.5000  0.5000
Tm  0.5000  0.5000  0.5000
Tm  0.0000  0.0000  0.0000